[1]
Material: KCd2Au
Method: DFT, PBE
State: optimized geometry

Cell: 3.2016 4.1354 8.0855 Å, 90.00 90.00 90.00°
Element x y z (fractional)
Au1 0.5000 0.5000 0.8120
K1 0.0000 0.0000 0.5225
Cd1 0.0000 0.0000 0.9680
Cd2 0.5000 0.5000 0.1975

## Properties
For the volume, the calculation gives 26.76 A^3/atom. The calculation puts the final energy at -6.64 eV for the cell shown. The energy relative to the elements is -107.8 meV per atom.

***

[2]
Material: PaTiBe
Method: DFT, PBE
State: optimized geometry

Cell: 5.0836 5.0836 5.2894 Å, 103.47 103.47 121.02°
Element x y z (fractional)
Be1 0.7500 0.2500 0.5000
Be2 0.2500 0.7500 0.5000
Pa1 0.3379 0.6621 0.0000
Ti1 0.1548 0.1548 0.3095
Ti2 0.8452 0.8452 0.6905
Pa2 0.6621 0.3379 0.0000

## Properties
For the volume, the calculation gives 17.20 A^3/atom. The calculation puts the final energy at -42.06 eV for the cell shown. The energy relative to the elements is 28.9 meV per atom. The energy above the most stable polymorph in this dataset is 0.0 meV/atom.